Compound: Ba3Ge4Au4
Source: Alexandria via LeMat-Bulk
Functional: PBEsol
Structure: optimized geometry

Structure (CIF):
```
data_Ba3Ge4Au4
_cell_length_a 26.0082
_cell_length_b 4.5466
_cell_length_c 4.7023
_cell_angle_alpha 90.00
_cell_angle_beta 100.31
_cell_angle_gamma 90.00
_symmetry_space_group_name_H-M 'C 1 2/m 1'
_symmetry_Int_Tables_number 12
_symmetry_space_group_name_Hall '-C 2y'
loop_
_atom_site_label
_atom_site_fract_x
_atom_site_fract_y
_atom_site_fract_z
Ba1 0.0000 0.0000 0.0000
Ba2 0.1490 0.5000 0.1483
Ge1 0.0488 0.5000 0.5496
Ge2 0.1995 0.0000 0.6839
Au1 0.0976 0.0000 0.5936
Au2 0.2491 0.0000 0.2311
```

**Spin magnetization**: 0.00 Bohr magnetons per cell
**VASP energy**: -4.402 eV/atom